Below is crystalline SrAl2Cl at its relaxed geometry, with properties calculated at the PBE level.

Output
Space-group type ... No. 123
Energy relative to the elements, uncorrected ... -0.257 eV/atom
Polymorph energy (0 for the lowest one) ... 377 meV/atom
Total magnetic moment ... 0.0 μB/f.u.

Cell lengths 4.8651, 4.8651, 5.4240 Å; angles 90.00, 90.00, 90.00 degrees
Closest atoms and distances in Å follow each position.
Sites, in units of the cell vectors:
Sr1 0.5000 0.5000 0.7500  2 Cl 2.71
Al1 0.0000 0.0000 0.9888  2 Al 2.59-2.83
Al2 0.0000 0.0000 0.5112  2 Al 2.59-2.83
Cl1 0.5000 0.5000 0.2500  2 Sr 2.71